(1)
Material: Nd2YPd
Method: DFT, PBE
State: optimized geometry

DFT formation energy   -406.7 meV/atom
Excess energy over the best structure of this formula in the dataset   16 meV per atom
Mass density   6.869 g/cm³
Calculated total energy   -5.70 eV per atom

a = 6.3774 Å, b = 6.3774 Å, c = 9.8943 Å
α = 90.00°, β = 90.00°, γ = 144.46°
Positions (direct):
Nd (0.1358, 0.8642, 0.5602)
Nd (0.1358, 0.8642, 0.9398)
Nd (0.8642, 0.1358, 0.0602)
Nd (0.8642, 0.1358, 0.4398)
Y (0.4263, 0.5737, 0.7500)
Y (0.5737, 0.4263, 0.2500)
Pd (0.2657, 0.7343, 0.2500)
Pd (0.7343, 0.2657, 0.7500)

---

(2)
Material: Ce3Pm2Pb4
Method: DFT, PBE
State: optimized geometry

DFT formation energy   -295.0 meV/atom
Excess energy over the best structure of this formula in the dataset   77 meV per atom
Mass density   8.708 g/cm³
Calculated total energy   -4.98 eV per atom

a = 9.5540 Å, b = 9.4413 Å, c = 6.9884 Å
α = 90.00°, β = 111.38°, γ = 90.00°
Positions (direct):
Ce (0.0000, 0.0000, 0.0000)
Ce (0.0000, 0.5000, 0.5000)
Ce (0.4117, 0.2500, 0.4560)
Ce (0.4117, 0.2500, 0.9560)
Ce (0.5883, 0.7500, 0.0440)
Ce (0.5883, 0.7500, 0.5440)
Pm (0.2224, 0.5853, 0.1113)
Pm (0.2224, 0.9147, 0.6113)
Pm (0.7776, 0.0853, 0.3887)
Pm (0.7776, 0.4147, 0.8887)
Pb (0.0585, 0.2502, 0.2788)
Pb (0.0585, 0.2498, 0.7788)
Pb (0.3607, 0.5577, 0.6804)
Pb (0.3607, 0.9423, 0.1804)
Pb (0.6393, 0.0577, 0.8196)
Pb (0.6393, 0.4423, 0.3196)
Pb (0.9415, 0.7502, 0.2212)
Pb (0.9415, 0.7498, 0.7212)

---

Question: The highest calculated total energy belongs to which entry?
Answer: Ce3Pm2Pb4